A plane-wave DFT calculation with PBE with a Hubbard U was carried out for a relaxed structure of CrSi2F.

CIF file:
```
data_CrSi2F
_space_group_name_H-M_alt 'I -4 2 d'
_space_group_IT_number 122
_space_group_name_Hall 'I -4 2bw'
_cell_length_a 8.721
_cell_length_b 8.721
_cell_length_c 3.917
_cell_angle_alpha 90.00
_cell_angle_beta 90.00
_cell_angle_gamma 90.00
loop_
_atom_site_label
_atom_site_fract_x
_atom_site_fract_y
_atom_site_fract_z
Cr1 0.000 0.000 0.000
Si1 0.180 0.250 0.125
F1 0.000 0.000 0.500
```

## Properties
total magnetic moment = 15.27 Bohr magnetons per cell
electronic total energy = -86.440 eV per cell